The following is a PBE calculation of crystalline Pm3Zr3NbN8 at its relaxed geometry, from Alexandria via LeMat-Bulk.

Values from the calculation:
size of the total moment: 0.0000 μB per atom
N(E_F): 1.6 states/eV/f.u.
calculated total energy: -9.183 eV per atom

a = 6.8769 Å, b = 6.8769 Å, c = 6.8769 Å
α = 57.46°, β = 57.46°, γ = 57.46°
Closest atoms and distances in Å follow each position.
Positions (direct):
Pm: 0.0000 0.5000 0.5000  6 N 2.49-2.51
Pm: 0.5000 0.0000 0.5000  6 N 2.49-2.51
Pm: 0.5000 0.5000 0.0000  6 N 2.49-2.51
Zr: 0.0000 0.0000 0.5000  6 N 2.29
Zr: 0.0000 0.5000 0.0000  6 N 2.29
Zr: 0.5000 0.0000 0.0000  6 N 2.29
Nb: 0.5000 0.5000 0.5000  6 N 2.17
N: 0.2400 0.2400 0.2400  3 Zr 2.29, 3 Pm 2.49
N: 0.2521 0.7275 0.7275  1 Nb 2.17, 2 Zr 2.29
N: 0.2725 0.2725 0.7479  1 Nb 2.17, 2 Zr 2.29
N: 0.2725 0.7479 0.2725  1 Nb 2.17, 2 Zr 2.29
N: 0.7275 0.2521 0.7275  1 Nb 2.17, 2 Zr 2.29
N: 0.7275 0.7275 0.2521  1 Nb 2.17, 2 Zr 2.29
N: 0.7479 0.2725 0.2725  1 Nb 2.17, 2 Zr 2.29
N: 0.7600 0.7600 0.7600  3 Zr 2.29, 3 Pm 2.49

The following is a PBE calculation of crystalline PrNbN at its relaxed geometry, from Alexandria via LeMat-Bulk.

Values from the calculation:
size of the total moment: 0.0000 μB per atom
N(E_F): 1.8 states/eV/f.u.
polymorph energy (0 for the lowest one): 0.191 eV/atom
calculated total energy: -8.061 eV per atom

a = 6.5703 Å, b = 6.5703 Å, c = 6.5703 Å
α = 153.03°, β = 153.03°, γ = 38.50°
Closest atoms and distances in Å follow each position.
Positions (direct):
Pr: 0.0000 0.0000 0.0000  1 N 2.72
Nb: 0.2958 0.2958 0.0000  4 N 2.17
N: 0.7804 0.7804 0.0000  4 Nb 2.17

The following is a PBE calculation of crystalline Pr3Nb2N7 at its relaxed geometry, from Alexandria via LeMat-Bulk.

Values from the calculation:
size of the total moment: 0.0000 μB per atom
N(E_F): 0.6 states/eV/f.u.
calculated total energy: -8.556 eV per atom

a = 10.8907 Å, b = 10.8907 Å, c = 3.8137 Å
α = 90.00°, β = 90.00°, γ = 157.87°
Closest atoms and distances in Å follow each position.
Positions (direct):
Pr: 0.0000 0.0000 0.0000  8 N 2.78-2.83
Pr: 0.1849 0.8151 0.0000  6 N 2.50-2.72
Pr: 0.8151 0.1849 0.0000  6 N 2.50-2.72
Nb: 0.4066 0.5934 0.5000  5 N 1.99-2.09
Nb: 0.5934 0.4066 0.5000  5 N 1.99-2.09
N: 0.0944 0.9056 0.5000  2 Nb 2.09
N: 0.2662 0.7338 0.5000  2 N 2.20
N: 0.3796 0.6204 0.0000  2 Nb 1.99
N: 0.5000 0.5000 0.5000  2 Nb 2.00
N: 0.6204 0.3796 0.0000  2 Nb 1.99
N: 0.7338 0.2662 0.5000  2 N 2.20
N: 0.9056 0.0944 0.5000  2 Nb 2.09

The following is a PBE calculation of crystalline PrNbN2 at its relaxed geometry, from Alexandria via LeMat-Bulk.

Values from the calculation:
size of the total moment: 0.0000 μB per atom
N(E_F): 2.3 states/eV/f.u.
calculated total energy: -8.654 eV per atom

a = 6.1541 Å, b = 6.1541 Å, c = 6.1541 Å
α = 149.67°, β = 149.67°, γ = 43.43°
Closest atoms and distances in Å follow each position.
Positions (direct):
Pr: 0.0000 0.0000 0.0000  8 N 2.76
Nb: 0.2500 0.7500 0.5000  4 N 2.06
N: 0.3630 0.3630 0.0000  2 Nb 2.06
N: 0.6370 0.6370 0.0000  2 Nb 2.06

Formation energy without anion corrections? In order: -1.41 -0.34 -0.83 -0.78 eV/atom.